1.
TaMnAlRu after structural relaxation. Source: Alexandria via LeMat-Bulk, functional PBE-GGA.

POSCAR file:
```
TaMnAlRu
1.0
3.081 0.000 0.000
0.000 3.081 0.000
0.000 0.000 5.984
Al Ru Mn Ta
1 1 1 1
Direct
0.500 0.500 0.602
0.000 0.000 0.848
0.000 0.000 0.360
0.500 0.500 0.118
```

Values from the calculation:
* Fermi-level density of states: 4.20 states/eV/cell
* space group: P4mm
* formation enthalpy at 0 K: -441.9 meV/atom
* total DFT energy (no corrections): -8.95 eV/atom

---

2.
Cu2TeAs after structural relaxation. Source: Alexandria via LeMat-Bulk, functional PBE-GGA.

POSCAR file:
```
Cu2TeAs
1.0
-0.724 -1.861 -2.594
0.004 -2.463 2.157
-7.454 1.113 1.283
Cu Te As
2 1 1
Direct
0.000 0.000 0.026
0.500 0.500 0.195
0.000 0.000 0.406
0.500 0.500 0.873
```

Values from the calculation:
* uncorrected formation energy: 0.1263 eV/atom
* Fermi-level density of states: 1.50 states/eV/cell
* ΔE to the lowest computed polymorph: 0.0675 eV/atom
* space group: Cmm2
* total DFT energy (no corrections): -3.87 eV/atom